#w
Density functional theory data (PBE-GGA) for crystalline ThSeN at its relaxed geometry.

```
data_ThSeN
_symmetry_space_group_name_H-M 'P -6 m 2'
_symmetry_Int_Tables_number 187
_symmetry_space_group_name_Hall 'P -6 2'
_cell_length_a 4.0171
_cell_length_b 4.0171
_cell_length_c 4.4556
_cell_angle_alpha 90.00
_cell_angle_beta 90.00
_cell_angle_gamma 120.00
loop_
_atom_site_label
_atom_site_type_symbol
_atom_site_fract_x
_atom_site_fract_y
_atom_site_fract_z
Th1 Th 0.0000 0.0000 0.0000
Se1 Se 0.6667 0.3333 0.5000
N1 N 0.3333 0.6667 0.0000
```

---

#x
Density functional theory data (PBE-GGA) for crystalline ThSeN at its relaxed geometry.

```
data_ThSeN
_symmetry_space_group_name_H-M 'I 4 m m'
_symmetry_Int_Tables_number 107
_symmetry_space_group_name_Hall 'I 4 -2'
_cell_length_a 3.5499
_cell_length_b 3.5499
_cell_length_c 10.0797
_cell_angle_alpha 90.00
_cell_angle_beta 90.00
_cell_angle_gamma 90.00
loop_
_atom_site_label
_atom_site_type_symbol
_atom_site_fract_x
_atom_site_fract_y
_atom_site_fract_z
Th1 Th 0.0000 0.0000 0.0000
Se1 Se 0.0000 0.0000 0.3194
N1 N 0.0000 0.0000 0.5427
```

---

So which one is most stable? That would be #w, about 301 meV per atom below the next structure.

---

#w
Density functional theory data (PBE-GGA) for crystalline ThSeN at its relaxed geometry.

```
data_ThSeN
_symmetry_space_group_name_H-M 'R -3 m'
_symmetry_Int_Tables_number 166
_symmetry_space_group_name_Hall '-R 3 2"'
_cell_length_a 4.0692
_cell_length_b 4.0692
_cell_length_c 27.7428
_cell_angle_alpha 90.00
_cell_angle_beta 90.00
_cell_angle_gamma 120.00
loop_
_atom_site_label
_atom_site_type_symbol
_atom_site_fract_x
_atom_site_fract_y
_atom_site_fract_z
Th1 Th 0.0000 0.0000 0.1136
Se1 Se 0.0000 0.0000 0.3739
N1 N 0.0000 0.0000 0.1988
```

---

#x
Density functional theory data (PBE-GGA) for crystalline ThSeN at its relaxed geometry.

```
data_ThSeN
_symmetry_space_group_name_H-M 'F -4 3 m'
_symmetry_Int_Tables_number 216
_symmetry_space_group_name_Hall 'F -4 2 3'
_cell_length_a 6.4611
_cell_length_b 6.4611
_cell_length_c 6.4611
_cell_angle_alpha 90.00
_cell_angle_beta 90.00
_cell_angle_gamma 90.00
loop_
_atom_site_label
_atom_site_type_symbol
_atom_site_fract_x
_atom_site_fract_y
_atom_site_fract_z
Th1 Th 0.0000 0.0000 0.0000
Se1 Se 0.2500 0.2500 0.2500
N1 N 0.2500 0.2500 0.7500
```

---

So which one is most stable? That would be #w, about 709 meV per atom below the next structure.

---

#w
Density functional theory data (PBE-GGA) for crystalline Ti2SeN at its relaxed geometry.

```
data_Ti2SeN
_symmetry_space_group_name_H-M 'R -3 m'
_symmetry_Int_Tables_number 166
_symmetry_space_group_name_Hall '-R 3 2"'
_cell_length_a 3.2659
_cell_length_b 3.2659
_cell_length_c 17.4384
_cell_angle_alpha 90.00
_cell_angle_beta 90.00
_cell_angle_gamma 120.00
loop_
_atom_site_label
_atom_site_type_symbol
_atom_site_fract_x
_atom_site_fract_y
_atom_site_fract_z
Ti1 Ti 0.0000 0.0000 0.2244
Se1 Se 0.0000 0.0000 0.0000
N1 N 0.0000 0.0000 0.5000
```

---

#x
Density functional theory data (PBE-GGA) for crystalline Ti2SeN at its relaxed geometry.

```
data_Ti2SeN
_symmetry_space_group_name_H-M 'I -4 2 d'
_symmetry_Int_Tables_number 122
_symmetry_space_group_name_Hall 'I -4 2bw'
_cell_length_a 5.1876
_cell_length_b 5.1876
_cell_length_c 10.0358
_cell_angle_alpha 90.00
_cell_angle_beta 90.00
_cell_angle_gamma 90.00
loop_
_atom_site_label
_atom_site_type_symbol
_atom_site_fract_x
_atom_site_fract_y
_atom_site_fract_z
Ti1 Ti 0.1623 0.2500 0.1250
Se1 Se 0.0000 0.0000 0.5000
N1 N 0.0000 0.0000 0.0000
```

---

So which one is most stable? That would be #w, about 307 meV per atom below the next structure.